No. 1
## Ti2VGeN (GGA-PBE)

Data for an optimized crystal structure of Ti2VGeN.

ρ ... 5.79 g/cm³
E_form (uncorrected) ... -4.106 eV per formula unit
Calculated total energy ... -41.957 eV/f.u.
Total magnetization ... 0.45 μB per formula unit

Cell lengths 4.195, 4.195, 3.801 Å; angles 90.00, 90.00, 90.00 degrees
Atoms (fractional coordinates):
N1 0.000 0.000 0.000
Ge1 0.500 0.500 0.500
Ti1 0.000 0.500 0.000
Ti2 0.500 0.000 0.000
V1 0.000 0.000 0.500

=====

No. 2
## Y2Ti2Ge2N (GGA-PBE)

Data for an optimized crystal structure of Y2Ti2Ge2N.

ρ ... 5.60 g/cm³
E_form (uncorrected) ... -7.839 eV per formula unit
Calculated total energy ... -54.117 eV/f.u.
Total magnetization ... 0.00 μB per formula unit

Cell lengths 4.112, 4.112, 8.125 Å; angles 104.66, 104.66, 90.00 degrees
Atoms (fractional coordinates):
Y1 0.167 0.167 0.333
Y2 0.833 0.833 0.667
Ti1 0.000 0.500 0.000
Ti2 0.500 0.000 0.000
Ge1 0.372 0.372 0.744
Ge2 0.628 0.628 0.256
N1 0.000 0.000 0.000

=====

No. 3
## Zr2TiGeN (GGA-PBE)

Data for an optimized crystal structure of Zr2TiGeN.

ρ ... 6.41 g/cm³
E_form (uncorrected) ... -4.545 eV per formula unit
Calculated total energy ... -42.479 eV/f.u.
Total magnetization ... 0.00 μB per formula unit

Cell lengths 4.552, 4.552, 3.964 Å; angles 90.00, 90.00, 90.00 degrees
Atoms (fractional coordinates):
Ge1 0.500 0.500 0.500
N1 0.000 0.000 0.000
Zr1 0.000 0.500 0.000
Zr2 0.500 0.000 0.000
Ti1 0.000 0.000 0.500

=====

No. 4
## ZrTi2GeN (GGA-PBE)

Data for an optimized crystal structure of ZrTi2GeN.

ρ ... 5.98 g/cm³
E_form (uncorrected) ... -4.730 eV per formula unit
Calculated total energy ... -42.010 eV/f.u.
Total magnetization ... 0.00 μB per formula unit

Cell lengths 4.053, 4.053, 4.626 Å; angles 90.00, 90.00, 90.00 degrees
Atoms (fractional coordinates):
Ge1 0.500 0.500 0.500
N1 0.000 0.000 0.000
Zr1 0.000 0.000 0.500
Ti1 0.000 0.500 0.000
Ti2 0.500 0.000 0.000

=====

No. 5
## TlGe3N (GGA-PBE)

Data for an optimized crystal structure of TlGe3N.

ρ ... 4.84 g/cm³
E_form (uncorrected) ... 10.774 eV per formula unit
Calculated total energy ... -13.769 eV/f.u.
Total magnetization ... 0.00 μB per formula unit
Excess energy over the best structure of this formula in the dataset ... 34.64 kcal/mol of atoms

Cell lengths 5.308, 5.308, 5.308 Å; angles 90.00, 90.00, 90.00 degrees
Atoms (fractional coordinates):
Tl1 0.000 0.000 0.000
Ge1 0.000 0.500 0.000
Ge2 0.000 0.000 0.500
Ge3 0.500 0.000 0.000
N1 0.500 0.500 0.500

=====

No. 6
## TlGe3N (GGA-PBE)

Data for an optimized crystal structure of TlGe3N.

ρ ... 7.74 g/cm³
E_form (uncorrected) ... 3.265 eV per formula unit
Calculated total energy ... -21.279 eV/f.u.
Total magnetization ... 0.00 μB per formula unit
Excess energy over the best structure of this formula in the dataset ... 0.00 kcal/mol of atoms

Cell lengths 4.541, 4.541, 4.541 Å; angles 90.00, 90.00, 90.00 degrees
Atoms (fractional coordinates):
Tl1 0.500 0.500 0.500
Ge1 0.000 0.500 0.000
Ge2 0.000 0.000 0.500
Ge3 0.500 0.000 0.000
N1 0.000 0.000 0.000

=====

No. 7
## Tl2GeN (GGA-PBE)

Data for an optimized crystal structure of Tl2GeN.

ρ ... 8.31 g/cm³
E_form (uncorrected) ... 3.003 eV per formula unit
Calculated total energy ... -14.672 eV/f.u.
Total magnetization ... 0.00 μB per formula unit
Excess energy over the best structure of this formula in the dataset ... 0.00 kcal/mol of atoms

Cell lengths 6.022, 6.022, 6.922 Å; angles 64.22, 64.22, 90.00 degrees
Atoms (fractional coordinates):
Tl1 0.561 0.125 0.250
Tl2 0.189 0.625 0.250
Tl3 0.375 0.439 0.750
Tl4 0.875 0.811 0.750
Ge1 0.000 0.000 0.000
Ge2 0.750 0.250 0.500
N1 0.500 0.500 0.000
N2 0.250 0.750 0.500

=====

No. 8
## TlGe2N (GGA-PBE)

Data for an optimized crystal structure of TlGe2N.

ρ ... 7.54 g/cm³
E_form (uncorrected) ... 1.973 eV per formula unit
Calculated total energy ... -17.953 eV/f.u.
Total magnetization ... 0.00 μB per formula unit
Excess energy over the best structure of this formula in the dataset ... 0.00 kcal/mol of atoms

Cell lengths 6.454, 6.454, 5.967 Å; angles 57.26, 57.26, 90.00 degrees
Atoms (fractional coordinates):
Tl1 0.000 0.000 0.000
Tl2 0.750 0.250 0.500
Ge1 0.516 0.125 0.250
Ge2 0.234 0.625 0.250
Ge3 0.375 0.484 0.750
Ge4 0.875 0.766 0.750
N1 0.500 0.500 0.000
N2 0.250 0.750 0.500